YTeSe: relaxed, PBE.

Output
Offset from the most stable computed form = 0.717 eV per atom
Energy relative to the elements, uncorrected = -0.70 eV/atom
Magnetization = 0.00 μB per formula unit

a b c (Å): 4.971 4.971 4.971
angles (deg): 60.00 60.00 60.00
Positions (direct):
Se  0.250  0.250  0.250
Te  0.000  0.000  0.000
Y  0.500  0.500  0.500